1.
A plane-wave DFT calculation with PBE was carried out for an optimized crystal structure of Rb3Tl3FeBr8.

Calculated values
ΔE_f (raw) = -1101 meV per atom
Energy = -3.224 eV/atom
Density of states at the Fermi level = 0.445 states/eV/atom

Cell lengths 9.6184, 9.6184, 22.9980 Å; angles 90.00, 90.00, 120.00 degrees
Space group R-3m (No. 166, hexagonal axes)
Inequivalent atoms, fractional coordinates:
Rb: 0.0000 0.5000 0.0000
Tl: 0.0000 0.5000 0.5000
Fe: 0.0000 0.0000 0.0000
Br: 0.0000 0.0000 0.2478
Br: 0.0694 0.5347 0.7350


2.
A plane-wave DFT calculation with PBE was carried out for an optimized crystal structure of RbTl2FeBr6.

Calculated values
ΔE_f (raw) = -769 meV per atom
Energy = -3.189 eV/atom
Density of states at the Fermi level = 0.952 states/eV/atom

Cell lengths 7.425, 8.507, 12.904 Å; angles 90.00, 122.05, 90.00 degrees
Space group P2_1/c (No. 14)
Inequivalent atoms, fractional coordinates:
Rb: 0.000 0.000 0.000
Tl: 0.207 0.054 0.732
Fe: 0.500 0.000 0.500
Br: 0.202 0.152 0.479
Br: 0.268 0.733 0.913
Br: 0.407 0.083 0.295


3.
A plane-wave DFT calculation with PBE was carried out for an optimized crystal structure of RbTlFeBr4.

Calculated values
ΔE_f (raw) = -933 meV per atom
Energy = -3.574 eV/atom
Density of states at the Fermi level = 1.014 states/eV/atom

Cell lengths 7.534, 7.581, 9.526 Å; angles 90.00, 108.19, 90.00 degrees
Space group P2_1/m (No. 11)
Inequivalent atoms, fractional coordinates:
Rb: 0.214 0.250 0.045
Tl: 0.266 0.250 0.563
Fe: 0.218 0.750 0.787
Br: 0.001 0.000 0.722
Br: 0.371 0.750 0.053
Br: 0.420 0.750 0.632


4.
A plane-wave DFT calculation with PBE was carried out for an optimized crystal structure of RbTl3Fe4Br12.

Calculated values
ΔE_f (raw) = -617 meV per atom
Energy = -3.717 eV/atom

Cell lengths 15.6562, 15.6562, 12.8068 Å; angles 90.00, 90.00, 120.00 degrees
Space group R32 (No. 155, hexagonal axes)
Inequivalent atoms, fractional coordinates:
Rb: 0.0000 0.0000 0.0000
Tl: 0.0000 0.5344 0.0000
Fe: 0.0000 0.0000 0.5000
Fe: 0.0000 0.4589 0.5000
Br: 0.0000 0.6088 0.5000
Br: 0.0000 0.8502 0.5000
Br: 0.0208 0.2004 0.1623